Record 1
VASP calculation (PBE-GGA) on a relaxed structure of K2Ba2Cl.

The uncorrected formation energy is -0.59 eV per atom. Its density of states at the Fermi level is 10.570 states/eV per cell.

```
10
Lattice="8.687 0.000 0.000 0.000 8.687 0.000 0.000 0.000 8.157" Properties=species:S:1:pos:R:3 pbc="T T T"
Ba 2.794 7.137 0.000
Ba 5.893 1.550 0.000
Ba 7.137 5.893 0.000
Ba 1.550 2.794 0.000
Cl 0.000 0.000 0.000
Cl 4.343 4.343 0.000
K 2.923 1.420 4.078
K 5.763 7.267 4.078
K 7.267 2.923 4.078
K 1.420 5.763 4.078
```

***

Record 2
VASP calculation (PBE-GGA) on a relaxed structure of Y2TaInN.

The uncorrected formation energy is -0.74 eV per atom. Its density of states at the Fermi level is 3.435 states/eV per cell.

```
5
Lattice="-1.222 4.624 1.228 -3.643 -1.721 2.855 2.626 -0.169 3.250" Properties=species:S:1:pos:R:3 pbc="T T T"
Y -0.611 2.312 0.614
Y -1.821 -0.860 1.427
In -1.119 1.367 3.666
Ta 1.313 -0.084 1.625
N 0.000 0.000 0.000
```